Here is a relaxed Pm8ThN6 crystal from the Alexandria database. Energies are from PBE-GGA.

**E**: -7.518 eV per atom

Lattice parameters (Å, degrees): 6.2936 6.2936 9.8890 71.45 71.45 60.00
Each line ends with the local moment (μB).
Positions (direct):
Pm 0.7643 0.4411 0.6922  0.06
Pm 0.8976 0.2357 0.3078  0.06
Pm 0.5589 0.8976 0.3078  0.06
Pm 0.3334 0.3334 0.9999  0.02
Pm 0.6666 0.6666 0.0001  0.02
Pm 0.4411 0.1024 0.6922  0.06
Pm 0.1024 0.7643 0.6922  0.06
Pm 0.2357 0.5589 0.3078  0.06
Th 0.0000 0.0000 0.0000  0.02
N 0.9441 0.6182 0.1672  0.00
N 0.7295 0.0559 0.8328  0.00
N 0.3818 0.7295 0.8328  0.00
N 0.6182 0.2705 0.1672  0.00
N 0.2705 0.9441 0.1672  0.00
N 0.0559 0.3818 0.8328  0.00

Here is a relaxed ReSb2Rh crystal from the Alexandria database. Energies are from PBE-GGA.

**Energy above the most stable polymorph in this dataset**: 136 meV/atom
**E**: -6.725 eV per atom

Lattice parameters (Å, degrees): 4.5499 4.5499 5.5090 78.14 78.14 41.54
Positions (direct):
Re 0.5000 0.5000 0.0000
Sb 0.2477 0.2477 0.7567
Sb 0.7523 0.7523 0.2433
Rh 0.0000 0.0000 0.5000

Here is a relaxed Cr2AgCl crystal from the Alexandria database. Energies are from PBE-GGA.

**Energy above the most stable polymorph in this dataset**: 94 meV/atom
**E**: -5.722 eV per atom

Lattice parameters (Å, degrees): 6.3291 6.3291 4.7565 89.93 89.93 27.77
Each line ends with the local moment (μB).
Positions (direct):
Cr 0.9932 0.9932 0.9979  -3.32
Cr 0.6502 0.6502 0.9974  3.33
Ag 0.5399 0.5399 0.4981  0.01
Cl 0.3167 0.3167 0.0066  -0.01

Here is a relaxed Pr2PaOs2 crystal from the Alexandria database. Energies are from PBE-GGA.

**Formation energy from the elements**: -216 meV per atom
**E**: -8.518 eV per atom

Lattice parameters (Å, degrees): 5.8836 5.8836 8.1932 81.34 81.34 62.57
Positions (direct):
Pr 0.4772 0.2252 0.1493
Pr 0.7748 0.5228 0.3507
Pr 0.5228 0.7748 0.8507
Pr 0.2252 0.4772 0.6493
Pa 0.1226 0.8774 0.2500
Pa 0.8774 0.1226 0.7500
Os 0.7362 0.9976 0.5079
Os 0.0024 0.2638 0.9921
Os 0.2638 0.0024 0.4921
Os 0.9976 0.7362 0.0079

Here is a relaxed AlPt2WSe crystal from the Alexandria database. Energies are from PBE-GGA.

**E**: -5.334 eV per atom

Lattice parameters (Å, degrees): 4.8268 5.0216 4.8268 90.00 90.00 90.00
Positions (direct):
Se 0.5000 0.5000 0.5000
W 0.0000 0.0000 0.0000
Pt 0.0000 0.0000 0.5000
Pt 0.5000 0.0000 0.0000
Al 0.0000 0.5000 0.0000

Here is a relaxed Tl2BiPt3 crystal from the Alexandria database. Energies are from PBE-GGA.

**Formation energy from the elements**: -185 meV per atom
**E**: -4.641 eV per atom

Lattice parameters (Å, degrees): 5.5771 7.5217 7.5214 120.36 90.00 90.00
Positions (direct):
Tl 0.2649 0.9938 0.3330
Tl 0.7649 0.0062 0.6670
Tl 0.7649 0.6669 0.0061
Tl 0.2649 0.3331 0.9939
Bi 0.7651 0.3296 0.3296
Bi 0.2651 0.6704 0.6704
Pt 0.0151 0.3370 0.6631
Pt 0.5151 0.6630 0.3369
Pt 0.0150 0.0000 0.0000
Pt 0.5150 0.0000 0.0000
Pt 0.0151 0.6630 0.3370
Pt 0.5151 0.3370 0.6630

Here is a relaxed Ac5Ta2O12 crystal from the Alexandria database. Energies are from PBE-GGA.

**E**: -8.714 eV per atom

Lattice parameters (Å, degrees): 6.2869 7.3961 8.1460 105.70 90.00 115.15
Each line ends with the local moment (μB).
Positions (direct):
Ac 0.3107 0.6213 0.6428  0.00
Ac 0.3084 0.6167 0.1666  0.00
Ac 0.0000 0.0000 0.5000  0.01
Ac 0.6916 0.3833 0.8334  0.00
Ac 0.6893 0.3787 0.3572  0.00
Ta 0.7682 0.0000 0.0000  0.36
Ta 0.2318 0.0000 0.0000  0.36
O 0.0015 0.0029 0.1799  0.03
O 0.1041 0.6911 0.9245  -0.01
O 0.5870 0.6911 0.9245  -0.01
O 0.0934 0.6876 0.4199  0.00
O 0.5942 0.6876 0.4199  0.00
O 0.5014 0.0027 0.8374  0.02
O 0.4986 0.9973 0.1626  0.02
O 0.9066 0.3124 0.5801  0.00
O 0.4058 0.3124 0.5801  0.00
O 0.8959 0.3089 0.0755  -0.01
O 0.4130 0.3089 0.0755  -0.01
O 0.9985 0.9971 0.8201  0.03